Entry 1:
Density functional theory data (PBE) for an optimized crystal structure of CaGaF.

Properties
**Spin magnetization**: 0.000 μB/cell
**SG**: R-3m
**Total energy**: -4.377 eV/atom
**Energy relative to the elements, uncorrected**: -2.077 eV/atom

abc: 4.1222 4.1222 8.2085
angles: 75.46 75.46 60.00
Fractional positions:
Ga 0.1581 0.1581 0.5258
Ga 0.8419 0.8419 0.4742
F 0.6983 0.6983 0.9051
F 0.3017 0.3017 0.0949
Ca 0.6001 0.6001 0.1998
Ca 0.3999 0.3999 0.8002


Entry 2:
Density functional theory data (PBE) for an optimized crystal structure of Ca12Ga3F5.

Properties
**Spin magnetization**: 0.001 μB/cell
**SG**: Ia-3d
**Total energy**: -3.616 eV/atom
**Energy relative to the elements, uncorrected**: -1.493 eV/atom

abc: 13.9312 13.9312 13.9312
angles: 109.47 109.47 109.47
Fractional positions:
Ca 0.0964 0.9095 0.1220
Ca 0.6220 0.5964 0.9095
Ca 0.5256 0.3131 0.9036
Ca 0.6220 0.0256 0.2125
Ca 0.1220 0.7125 0.5256
Ca 0.8131 0.9095 0.2875
Ca 0.4744 0.6869 0.0964
Ca 0.2875 0.4095 0.8131
Ca 0.4036 0.0256 0.3131
Ca 0.6869 0.4744 0.5964
Ca 0.2125 0.6869 0.0905
Ca 0.0256 0.4036 0.8131
Ca 0.9744 0.5964 0.1869
Ca 0.7125 0.5905 0.1869
Ca 0.4095 0.2875 0.3131
Ca 0.2875 0.8780 0.9744
Ca 0.4744 0.7875 0.8780
Ca 0.7875 0.3131 0.9095
Ca 0.7125 0.1220 0.0256
Ca 0.8780 0.5905 0.9036
Ca 0.1869 0.0964 0.9744
Ca 0.3780 0.4036 0.0905
Ca 0.4095 0.1220 0.5964
Ca 0.9036 0.8131 0.5256
Ca 0.5256 0.2125 0.1220
Ca 0.9744 0.3780 0.2875
Ca 0.6869 0.2125 0.5905
Ca 0.0256 0.6220 0.7125
Ca 0.5905 0.7125 0.6869
Ca 0.5964 0.6220 0.4095
Ca 0.0964 0.1869 0.4744
Ca 0.5964 0.9744 0.6869
Ca 0.7875 0.4744 0.3780
Ca 0.0905 0.9036 0.3780
Ca 0.8780 0.2875 0.4744
Ca 0.2125 0.5256 0.6220
Ca 0.3131 0.7875 0.4095
Ca 0.3131 0.5256 0.4036
Ca 0.8131 0.9036 0.0256
Ca 0.4036 0.3780 0.5905
Ca 0.9095 0.0964 0.6220
Ca 0.9095 0.8131 0.7875
Ca 0.9036 0.0905 0.8780
Ca 0.0905 0.1869 0.2125
Ca 0.5905 0.8780 0.4036
Ca 0.1869 0.0905 0.7125
Ca 0.3780 0.9744 0.7875
Ca 0.1220 0.4095 0.0964
F 0.7500 0.1250 0.8750
F 0.6250 0.7500 0.8750
F 0.8750 0.2500 0.6250
F 0.3750 0.2500 0.1250
F 0.3750 0.1250 0.7500
F 0.5000 0.5000 0.5000
F 0.1250 0.7500 0.3750
F 0.1250 0.3750 0.2500
F 0.5000 0.0000 0.5000
F 0.8750 0.6250 0.7500
F 0.5000 0.5000 0.0000
F 0.7500 0.6250 0.3750
F 0.2500 0.8750 0.1250
F 0.0000 0.5000 0.0000
F 0.2500 0.3750 0.6250
F 0.6250 0.8750 0.2500
F 0.0000 0.0000 0.0000
F 0.0000 0.5000 0.5000
F 0.0000 0.0000 0.5000
F 0.5000 0.0000 0.0000
Ga 0.7500 0.8750 0.6250
Ga 0.6250 0.3750 0.7500
Ga 0.1250 0.8750 0.7500
Ga 0.1250 0.2500 0.8750
Ga 0.3750 0.6250 0.2500
Ga 0.8750 0.7500 0.1250
Ga 0.7500 0.3750 0.1250
Ga 0.6250 0.2500 0.3750
Ga 0.2500 0.1250 0.3750
Ga 0.3750 0.7500 0.6250
Ga 0.2500 0.6250 0.8750
Ga 0.8750 0.1250 0.2500


Entry 3:
Density functional theory data (PBE) for an optimized crystal structure of CaGa3F.

Properties
**Spin magnetization**: 1.525 μB/cell
**SG**: Pm-3m
**Total energy**: -2.144 eV/atom
**Energy relative to the elements, uncorrected**: 0.447 eV/atom
**Relative energy among the computed polymorphs**: 1.061 eV/atom

abc: 5.8261 5.8261 5.8261
angles: 90.00 90.00 90.00
Fractional positions:
F 0.5000 0.5000 0.5000
Ga 0.5000 0.0000 0.0000
Ga 0.0000 0.5000 0.0000
Ga 0.0000 0.0000 0.5000
Ca 0.0000 0.0000 0.0000


Entry 4:
Density functional theory data (PBE) for an optimized crystal structure of CaGa3F.

Properties
**Spin magnetization**: 0.000 μB/cell
**SG**: Pm-3m
**Total energy**: -3.205 eV/atom
**Energy relative to the elements, uncorrected**: -0.614 eV/atom
**Relative energy among the computed polymorphs**: 0.000 eV/atom

abc: 4.7481 4.7481 4.7481
angles: 90.00 90.00 90.00
Fractional positions:
Ga 0.0000 0.5000 0.0000
Ga 0.0000 0.0000 0.5000
Ga 0.5000 0.0000 0.0000
F 0.0000 0.0000 0.0000
Ca 0.5000 0.5000 0.5000


Entry 5:
Density functional theory data (PBE) for an optimized crystal structure of CaGa2F8.

Properties
**Spin magnetization**: 0.000 μB/cell
**SG**: C2/m
**Total energy**: -4.980 eV/atom
**Energy relative to the elements, uncorrected**: -2.886 eV/atom
**Relative energy among the computed polymorphs**: 0.000 eV/atom

abc: 5.5078 5.2127 5.2127
angles: 75.33 98.72 98.72
Fractional positions:
Ca 0.0000 0.0000 0.0000
F 0.3435 0.3299 0.9472
F 0.6565 0.0528 0.6701
F 0.8166 0.2145 0.2145
F 0.7173 0.5669 0.5669
F 0.6565 0.6701 0.0528
F 0.2827 0.4331 0.4331
F 0.3435 0.9472 0.3299
F 0.1834 0.7855 0.7855
Ga 0.5483 0.3178 0.3178
Ga 0.4517 0.6822 0.6822


Entry 6:
Density functional theory data (PBE) for an optimized crystal structure of CaGa2F8.

Properties
**Spin magnetization**: 0.089 μB/cell
**SG**: C2/m
**Total energy**: -4.935 eV/atom
**Energy relative to the elements, uncorrected**: -2.841 eV/atom
**Relative energy among the computed polymorphs**: 0.045 eV/atom

abc: 5.7207 6.1989 6.1989
angles: 53.43 106.46 106.46
Fractional positions:
F 0.6244 0.8425 0.8425
F 0.3756 0.1575 0.1575
F 0.2204 0.6159 0.6159
F 0.7796 0.3841 0.3841
F 0.1791 0.0990 0.6390
F 0.8209 0.3610 0.9010
F 0.1791 0.6390 0.0990
F 0.8209 0.9010 0.3610
Ga 0.2858 0.7826 0.7826
Ga 0.7142 0.2174 0.2174
Ca 0.0000 0.0000 0.0000


Entry 7:
Density functional theory data (PBE) for an optimized crystal structure of CaGaIF4.

Properties
**Spin magnetization**: 0.000 μB/cell
**SG**: C2/m
**Total energy**: -4.638 eV/atom
**Energy relative to the elements, uncorrected**: -2.629 eV/atom

abc: 6.9774 6.9774 7.3741
angles: 72.92 72.92 55.40
Fractional positions:
I 0.1297 0.1297 0.5356
I 0.8703 0.8703 0.4644
F 0.5096 0.1024 0.1281
F 0.6198 0.6198 0.4612
F 0.5048 0.5048 0.8192
F 0.8976 0.4904 0.8719
F 0.4952 0.4952 0.1808
F 0.3802 0.3802 0.5388
F 0.1024 0.5096 0.1281
F 0.4904 0.8976 0.8719
Ca 0.6850 0.6850 0.1464
Ca 0.3150 0.3150 0.8536
Ga 0.6608 0.6608 0.6908
Ga 0.3392 0.3392 0.3092


Entry 8:
Density functional theory data (PBE) for an optimized crystal structure of KCaGaF6.

Properties
**Spin magnetization**: 0.121 μB/cell
**SG**: Imma
**Total energy**: -5.059 eV/atom
**Energy relative to the elements, uncorrected**: -3.131 eV/atom

abc: 7.4904 7.4403 7.2892
angles: 120.69 120.92 90.00
Fractional positions:
F 0.5476 0.8378 0.7383
F 0.4359 0.1859 0.8717
F 0.1907 0.4006 0.7383
F 0.1907 0.8378 0.7383
F 0.5641 0.8141 0.1283
F 0.4524 0.5994 0.2617
F 0.8093 0.5994 0.2617
F 0.8093 0.1622 0.2617
F 0.4524 0.1622 0.2617
F 0.5476 0.4006 0.7383
F 0.8670 0.1170 0.7340
F 0.1330 0.8830 0.2660
Ga 0.5000 0.0000 0.0000
Ga 0.5000 0.5000 0.0000
Ca 0.0000 0.0000 0.5000
Ca 0.5000 0.0000 0.5000
K 0.1477 0.3977 0.2955
K 0.8523 0.6023 0.7045